A plane-wave DFT calculation with PBEsol was carried out for an optimized crystal structure of KCr2Ir.

Geometry as extended XYZ:
```
4
Lattice="-1.552 1.708 -1.588 -1.993 -4.171 -0.066 -2.929 2.609 5.670" Properties=species:S:1:pos:R:3 pbc="T T T"
Ir -2.783 2.257 2.678
Cr -5.831 0.156 3.398
Cr -3.625 0.191 3.750
K -2.948 -0.153 0.247
```

Calculated values
- space-group type = Cm, No. 8
- energy relative to the elements (eV/atom) = 0.79
- excess energy over the best structure of this formula in the dataset (meV per atom) = 124.3



A plane-wave DFT calculation with PBEsol was carried out for an optimized crystal structure of Mg2ZnIr.

Geometry as extended XYZ:
```
4
Lattice="-1.507 0.694 2.522 3.517 -0.698 2.293 2.086 4.555 -1.814" Properties=species:S:1:pos:R:3 pbc="T T T"
Zn 0.078 3.404 0.916
Mg 0.234 0.859 -0.097
Mg 2.851 3.667 0.694
Ir 1.483 1.754 2.210
```

Calculated values
- space-group type = Amm2, No. 38
- energy relative to the elements (eV/atom) = -0.22